#A
Material: Sm4DyAg
Method: DFT, PBE-GGA
State: optimized geometry

Calculated values
Its space group is P4/mmm.

Unit cell a=3.6229 b=3.6229 c=14.0957 alpha=90.00 beta=90.00 gamma=90.00
With the nearest neighbours (Å) after each atom.
Fractional coordinates of all 6 atoms:
Ag: 0.5000 0.5000 0.5000  8 Sm 3.22
Sm: 0.0000 0.0000 0.3615  4 Ag 3.22
Sm: 0.0000 0.0000 0.6385  4 Ag 3.22
Sm: 0.5000 0.5000 0.8227  4 Dy 3.58, 8 Sm 3.62-3.65
Sm: 0.5000 0.5000 0.1773  4 Dy 3.58, 8 Sm 3.62-3.65
Dy: 0.0000 0.0000 0.0000  8 Sm 3.58, 4 Dy 3.62

=====

#B
Material: Sm4DyAg
Method: DFT, PBE-GGA
State: optimized geometry

Calculated values
Its space group is Cmc2_1.

Unit cell a=5.5199 b=6.4992 c=10.8441 alpha=90.00 beta=104.74 gamma=90.00
With the nearest neighbours (Å) after each atom.
Fractional coordinates of all 12 atoms:
Sm: 0.4652 0.8802 0.9304  2 Ag 3.01-3.04, 1 Sm 3.24
Sm: 0.9358 0.2098 0.8715  2 Ag 3.36, 6 Sm 3.55-3.76, 2 Dy 3.55-3.56
Sm: 0.5348 0.3802 0.0696  2 Ag 3.01-3.04, 1 Sm 3.24
Sm: 0.2530 0.5942 0.5060  1 Ag 3.07, 3 Sm 3.18-3.41
Sm: 0.7470 0.0942 0.4940  1 Ag 3.07, 3 Sm 3.18-3.41
Sm: 0.3223 0.0680 0.6446  1 Ag 3.03, 3 Sm 3.18-3.24
Sm: 0.0642 0.7098 0.1285  2 Ag 3.36, 6 Sm 3.55-3.76, 2 Dy 3.55-3.56
Sm: 0.6777 0.5680 0.3554  1 Ag 3.03, 3 Sm 3.18-3.24
Dy: 0.1333 0.2093 0.2666  2 Ag 3.21, 3 Sm 3.54-3.56
Dy: 0.8667 0.7093 0.7334  2 Ag 3.21, 3 Sm 3.54-3.56
Ag: 0.3942 0.4719 0.7884  6 Sm 3.01-3.36, 2 Dy 3.21
Ag: 0.6058 0.9719 0.2116  6 Sm 3.01-3.36, 2 Dy 3.21

=====

Ordering by calculated energy gives the sequence #A, #B, with the first entry being the most stable.

=====

#A
Material: SmDyZnAg
Method: DFT, PBE-GGA
State: optimized geometry

Calculated values
Its space group is F-43m.

Unit cell a=5.1524 b=5.1524 c=5.1524 alpha=60.00 beta=60.00 gamma=60.00
With the nearest neighbours (Å) after each atom.
Fractional coordinates of all 4 atoms:
Zn: 0.0000 0.0000 0.0000  4 Sm 3.16, 4 Dy 3.16
Ag: 0.5000 0.5000 0.5000  4 Dy 3.16, 4 Sm 3.16
Sm: 0.2500 0.2500 0.2500  4 Zn 3.16, 4 Ag 3.16
Dy: 0.7500 0.7500 0.7500  4 Zn 3.16, 4 Ag 3.16

=====

#B
Material: SmDyZnAg
Method: DFT, PBE-GGA
State: optimized geometry

Calculated values
Its space group is P4mm.

Unit cell a=3.6339 b=3.6339 c=7.2855 alpha=90.00 beta=90.00 gamma=90.00
With the nearest neighbours (Å) after each atom.
Fractional coordinates of all 4 atoms:
Ag: 0.5000 0.5000 0.1189  4 Dy 3.13, 4 Sm 3.24, 1 Zn 3.49
Zn: 0.5000 0.5000 0.5978  4 Dy 3.08, 4 Sm 3.15
Sm: 0.0000 0.0000 0.8476  4 Zn 3.15, 4 Ag 3.24, 1 Dy 3.53
Dy: 0.0000 0.0000 0.3636  4 Zn 3.08, 4 Ag 3.13

=====

Ordering by calculated energy gives the sequence #B, #A, with the first entry being the most stable.

=====

#A
Material: SrDyAg
Method: DFT, PBE-GGA
State: optimized geometry

Calculated values
Its space group is I4mm.

Unit cell a=3.7707 b=3.7707 c=7.2545 alpha=105.06 beta=105.06 gamma=90.00
With the nearest neighbours (Å) after each atom.
Fractional coordinates of all 3 atoms:
Ag: 0.6846 0.6846 0.3692  4 Dy 3.06
Dy: 0.2952 0.2952 0.5904  4 Ag 3.06
Sr: 0.0202 0.0202 0.0404  4 Ag 3.47, 1 Dy 3.71, 4 Sr 3.77

=====

#B
Material: SrDyAg
Method: DFT, PBE-GGA
State: optimized geometry

Calculated values
Its space group is P3m1.

Unit cell a=4.4011 b=5.1171 c=5.1171 alpha=120.00 beta=90.00 gamma=90.00
With the nearest neighbours (Å) after each atom.
Fractional coordinates of all 3 atoms:
Sr: 0.6659 0.6667 0.3333  6 Ag 3.68-3.69, 6 Dy 3.68
Ag: 0.1684 0.3333 0.6667  3 Dy 2.95
Dy: 0.1657 0.0000 0.0000  3 Ag 2.95

=====

Ordering by calculated energy gives the sequence #A, #B, with the first entry being the most stable.

=====

#A
Material: Tb2DyAg2
Method: DFT, PBE-GGA
State: optimized geometry

Calculated values
Its space group is Cmcm.

Unit cell a=3.6508 b=5.2541 c=13.5654 alpha=90.00 beta=97.71 gamma=90.00
With the nearest neighbours (Å) after each atom.
Fractional coordinates of all 10 atoms:
Dy: 0.8544 0.7500 0.7091  6 Ag 3.19-3.20, 2 Tb 3.56
Dy: 0.1456 0.2500 0.2909  6 Ag 3.19-3.20, 2 Tb 3.56
Tb: 0.0478 0.7500 0.0950  8 Ag 3.13-3.20
Tb: 0.7648 0.2500 0.5309  2 Ag 3.08, 4 Tb 3.30-3.31
Tb: 0.9522 0.2500 0.9050  8 Ag 3.13-3.20
Tb: 0.2352 0.7500 0.4691  2 Ag 3.08, 4 Tb 3.30-3.31
Ag: 0.3572 0.2500 0.7157  4 Tb 3.08-3.13, 4 Dy 3.20
Ag: 0.5480 0.2500 0.0958  6 Tb 3.15-3.20, 2 Dy 3.19-3.20
Ag: 0.4520 0.7500 0.9042  6 Tb 3.15-3.20, 2 Dy 3.19-3.20
Ag: 0.6428 0.7500 0.2843  4 Tb 3.08-3.13, 4 Dy 3.20

=====

#B
Material: Tb2DyAg2
Method: DFT, PBE-GGA
State: optimized geometry

Calculated values
Its space group is P2_1/m.

Unit cell a=4.9039 b=5.2852 c=10.9811 alpha=96.23 beta=90.00 gamma=90.00
With the nearest neighbours (Å) after each atom.
Fractional coordinates of all 10 atoms:
Tb: 0.2500 0.2520 0.5072  4 Ag 2.89-2.99
Tb: 0.7500 0.1615 0.1119  5 Ag 2.78-3.02
Tb: 0.7500 0.7480 0.4928  4 Ag 2.89-2.99
Tb: 0.2500 0.8385 0.8881  5 Ag 2.78-3.02
Ag: 0.7500 0.6418 0.0082  4 Tb 2.86-3.02, 2 Ag 2.87, 1 Dy 3.11
Ag: 0.2500 0.7833 0.6331  5 Tb 2.78-2.99
Ag: 0.2500 0.3582 0.9918  4 Tb 2.86-3.02, 2 Ag 2.87, 1 Dy 3.11
Ag: 0.7500 0.2167 0.3669  5 Tb 2.78-2.99
Dy: 0.7500 0.3005 0.7588  1 Ag 3.11
Dy: 0.2500 0.6995 0.2412  1 Ag 3.11

=====

Ordering by calculated energy gives the sequence #A, #B, with the first entry being the most stable.

=====

#A
Material: TbDyAg4
Method: DFT, PBE-GGA
State: optimized geometry

Calculated values
Its space group is C2/m.

Unit cell a=3.7217 b=5.3468 c=7.5597 alpha=100.45 beta=104.28 gamma=110.38
With the nearest neighbours (Å) after each atom.
Fractional coordinates of all 6 atoms:
Ag: 0.1641 0.9936 0.8377  5 Ag 3.03-3.15, 3 Dy 3.07-3.08, 2 Tb 3.09
Ag: 0.6622 0.4921 0.3355  5 Ag 3.04-3.15, 3 Tb 3.07-3.09, 2 Dy 3.08
Ag: 0.3335 0.5025 0.6683  5 Ag 3.04-3.15, 3 Tb 3.07-3.09, 2 Dy 3.08
Ag: 0.8317 0.0010 0.1661  5 Ag 3.03-3.15, 3 Dy 3.07-3.08, 2 Tb 3.09
Tb: 0.4978 0.9973 0.5018  10 Ag 3.07-3.09
Dy: 0.9978 0.4973 0.0018  10 Ag 3.07-3.08

=====

#B
Material: TbDyAg4
Method: DFT, PBE-GGA
State: optimized geometry

Calculated values
Its space group is F-43m.

Unit cell a=5.7066 b=5.7066 c=5.7066 alpha=60.00 beta=60.00 gamma=60.00
With the nearest neighbours (Å) after each atom.
Fractional coordinates of all 6 atoms:
Ag: 0.1251 0.6250 0.6250  6 Ag 2.85
Ag: 0.6250 0.6250 0.6250  6 Ag 2.85
Ag: 0.6250 0.6250 0.1251  6 Ag 2.85
Ag: 0.6250 0.1251 0.6250  6 Ag 2.85
Tb: 0.0000 0.0000 0.0000  12 Ag 3.35, 4 Dy 3.49
Dy: 0.2500 0.2500 0.2500  12 Ag 3.35, 4 Tb 3.49

=====

#C
Material: TbDyAg4
Method: DFT, PBE-GGA
State: optimized geometry

Calculated values
Its space group is Pmmm.

Unit cell a=3.3984 b=5.8699 c=8.2456 alpha=90.00 beta=89.99 gamma=54.58
With the nearest neighbours (Å) after each atom.
Fractional coordinates of all 6 atoms:
Tb: 0.5012 0.4973 0.9981  12 Ag 3.23-3.24, 2 Tb 3.40
Dy: 0.0014 0.9973 0.4981  12 Ag 3.23-3.24, 2 Dy 3.40
Ag: 0.0013 0.4973 0.3314  3 Ag 2.75
Ag: 0.0015 0.4973 0.6649  3 Ag 2.75-2.76
Ag: 0.5013 0.9973 0.1656  3 Ag 2.75-2.76
Ag: 0.5012 0.9973 0.8306  3 Ag 2.75-2.76

=====

Ordering by calculated energy gives the sequence #A, #C, #B, with the first entry being the most stable.

=====

#A
Material: TbDy4Ag
Method: DFT, PBE-GGA
State: optimized geometry

Calculated values
Its space group is P4/mmm.

Unit cell a=3.5480 b=3.5480 c=13.9198 alpha=90.00 beta=90.00 gamma=90.00
With the nearest neighbours (Å) after each atom.
Fractional coordinates of all 6 atoms:
Dy: 0.0000 0.0000 0.6377  4 Ag 3.16
Dy: 0.0000 0.0000 0.3623  4 Ag 3.16
Dy: 0.5000 0.5000 0.8201  4 Tb 3.54, 8 Dy 3.55-3.57
Dy: 0.5000 0.5000 0.1799  4 Tb 3.54, 8 Dy 3.55-3.57
Ag: 0.5000 0.5000 0.5000  8 Dy 3.16
Tb: 0.0000 0.0000 0.0000  8 Dy 3.54, 4 Tb 3.55

=====

#B
Material: TbDy4Ag
Method: DFT, PBE-GGA
State: optimized geometry

Calculated values
Its space group is Cmc2_1.

Unit cell a=5.4380 b=6.4170 c=10.7212 alpha=90.00 beta=104.69 gamma=90.00
With the nearest neighbours (Å) after each atom.
Fractional coordinates of all 12 atoms:
Dy: 0.5349 0.3785 0.0699  2 Ag 2.93-2.99, 1 Dy 3.21
Dy: 0.3228 0.0734 0.6456  1 Ag 2.96, 3 Dy 3.17-3.21
Dy: 0.9345 0.2106 0.8690  2 Ag 3.28, 2 Tb 3.50-3.53, 4 Dy 3.51-3.59
Dy: 0.6772 0.5734 0.3544  1 Ag 2.96, 3 Dy 3.17-3.21
Dy: 0.2556 0.5889 0.5112  1 Ag 3.02, 2 Dy 3.17
Dy: 0.4651 0.8785 0.9301  2 Ag 2.93-2.99, 1 Dy 3.21
Dy: 0.7444 0.0889 0.4888  1 Ag 3.02, 2 Dy 3.17
Dy: 0.0655 0.7106 0.1310  2 Ag 3.28, 2 Tb 3.50-3.53, 4 Dy 3.51-3.59
Ag: 0.6035 0.9687 0.2070  6 Dy 2.93-3.28, 2 Tb 3.20
Ag: 0.3965 0.4687 0.7930  6 Dy 2.93-3.28, 2 Tb 3.20
Tb: 0.1345 0.2134 0.2691  2 Ag 3.20, 5 Dy 3.48-3.58
Tb: 0.8655 0.7134 0.7309  2 Ag 3.20, 5 Dy 3.48-3.58

=====

Ordering by calculated energy gives the sequence #A, #B, with the first entry being the most stable.